A relaxed ScHgWBr2 crystal, computed with PBE.

The energy comes out at -3.859 eV per atom. The magnetization is 0.92 μB per formula unit.

The structure in CIF format:
```
data_ScHgWBr2
_chemical_formula_sum 'Sc1 Hg1 W1 Br2'
_cell_length_a 4.902
_cell_length_b 4.902
_cell_length_c 5.652
_cell_angle_alpha 90.00
_cell_angle_beta 90.00
_cell_angle_gamma 90.00
_space_group_name_H-M_alt 'P 4/m m m'
_space_group_IT_number 123
_space_group_name_Hall '-P 4 2'
loop_
_atom_site_label
_atom_site_type_symbol
_atom_site_fract_x
_atom_site_fract_y
_atom_site_fract_z
_atom_site_occupancy
Sc1 Sc 0.000 0.000 0.000 1
Hg1 Hg 0.500 0.500 0.000 1
W1 W 0.500 0.500 0.500 1
Br1 Br 0.000 0.500 0.500 1
```

=====

A relaxed Ac2AlHg2 crystal, computed with PBE.

The polymorph energy (0 for the lowest one) comes out at 0 meV/atom. The energy comes out at -2.934 eV per atom. The magnetization is 0.00 μB per formula unit. The energy of formation from the pure elements is -0.421 eV/atom.

The structure in CIF format:
```
data_Ac2AlHg2
_chemical_formula_sum 'Ac8 Al4 Hg8'
_cell_length_a 11.935
_cell_length_b 4.810
_cell_length_c 12.006
_cell_angle_alpha 90.00
_cell_angle_beta 118.38
_cell_angle_gamma 90.00
_space_group_name_H-M_alt 'C 1 2/m 1'
_space_group_IT_number 12
loop_
_space_group_symop_operation_xyz
'x,y,z'
'-x,-y,-z'
'-x,y,-z'
'x,-y,z'
'x+1/2,y+1/2,z'
'-x+1/2,-y+1/2,-z'
'-x+1/2,y+1/2,-z'
'x+1/2,-y+1/2,z'
loop_
_atom_site_label
_atom_site_type_symbol
_atom_site_fract_x
_atom_site_fract_y
_atom_site_fract_z
_atom_site_occupancy
Ac1 Ac 0.011 0.000 0.341 1
Ac2 Ac 0.190 0.000 0.109 1
Al1 Al 0.219 0.500 0.343 1
Hg1 Hg 0.022 0.500 0.878 1
Hg2 Hg 0.155 0.500 0.562 1
```

=====

A relaxed NaCa2Pm crystal, computed with PBE.

The polymorph energy (0 for the lowest one) comes out at 0 meV/atom. The energy comes out at -2.437 eV per atom. The magnetization is 0.00 μB per formula unit. The energy of formation from the pure elements is 0.081 eV/atom.

The structure in CIF format:
```
data_NaCa2Pm
_chemical_formula_sum 'Na3 Ca6 Pm3'
_cell_length_a 3.7745
_cell_length_b 3.7745
_cell_length_c 37.3489
_cell_angle_alpha 90.00
_cell_angle_beta 90.00
_cell_angle_gamma 120.00
_space_group_name_H-M_alt 'R -3 m'
_space_group_IT_number 166
_space_group_name_Hall '-R 3 2"'
loop_
_atom_site_label
_atom_site_type_symbol
_atom_site_fract_x
_atom_site_fract_y
_atom_site_fract_z
_atom_site_occupancy
Na1 Na 0.0000 0.0000 0.0000 1
Ca1 Ca 0.0000 0.0000 0.2480 1
Pm1 Pm 0.0000 0.0000 0.5000 1
```

=====

A relaxed Cu2Br crystal, computed with PBE.

The polymorph energy (0 for the lowest one) comes out at 371 meV/atom. The energy comes out at -2.919 eV per atom. The magnetization is 0.00 μB per formula unit.

The structure in CIF format:
```
data_Cu2Br
_chemical_formula_sum 'Cu8 Br4'
_cell_length_a 3.180
_cell_length_b 11.632
_cell_length_c 6.629
_cell_angle_alpha 90.00
_cell_angle_beta 90.00
_cell_angle_gamma 90.00
_space_group_name_H-M_alt 'C m c m'
_space_group_IT_number 63
_space_group_name_Hall '-C 2c 2'
loop_
_atom_site_label
_atom_site_type_symbol
_atom_site_fract_x
_atom_site_fract_y
_atom_site_fract_z
_atom_site_occupancy
Cu1 Cu 0.000 0.114 0.250 1
Cu2 Cu 0.000 0.229 0.750 1
Br1 Br 0.000 0.441 0.250 1
```

=====

A relaxed AcHoH crystal, computed with PBE.

The polymorph energy (0 for the lowest one) comes out at 0 meV/atom. The energy comes out at -4.149 eV per atom. The magnetization is 0.00 μB per formula unit.

The structure in CIF format:
```
data_AcHoH
_chemical_formula_sum 'Ac1 Ho1 H1'
_cell_length_a 3.7842
_cell_length_b 3.7842
_cell_length_c 6.0530
_cell_angle_alpha 90.00
_cell_angle_beta 90.00
_cell_angle_gamma 120.00
_space_group_name_H-M_alt 'P 3 m 1'
_space_group_IT_number 156
loop_
_space_group_symop_operation_xyz
'x,y,z'
'-y,x-y,z'
'-x+y,-x,z'
'-y,-x,z'
'-x+y,y,z'
'x,x-y,z'
loop_
_atom_site_label
_atom_site_type_symbol
_atom_site_fract_x
_atom_site_fract_y
_atom_site_fract_z
_atom_site_occupancy
Ac1 Ac 0.0000 0.0000 0.0000 1
Ho1 Ho 0.6667 0.3333 0.5151 1
H1 H 0.3333 0.6667 0.7104 1
```

=====

A relaxed LaTaRe2 crystal, computed with PBE.

The polymorph energy (0 for the lowest one) comes out at 243 meV/atom. The energy comes out at -9.953 eV per atom. The magnetization is 0.00 μB per formula unit. The energy of formation from the pure elements is 0.466 eV/atom.

The structure in CIF format:
```
data_LaTaRe2
_chemical_formula_sum 'La2 Ta2 Re4'
_cell_length_a 8.532
_cell_length_b 3.163
_cell_length_c 6.158
_cell_angle_alpha 90.00
_cell_angle_beta 97.69
_cell_angle_gamma 90.00
_space_group_name_H-M_alt 'C 1 2/m 1'
_space_group_IT_number 12
loop_
_space_group_symop_operation_xyz
'x,y,z'
'-x,-y,-z'
'-x,y,-z'
'x,-y,z'
'x+1/2,y+1/2,z'
'-x+1/2,-y+1/2,-z'
'-x+1/2,y+1/2,-z'
'x+1/2,-y+1/2,z'
loop_
_atom_site_label
_atom_site_type_symbol
_atom_site_fract_x
_atom_site_fract_y
_atom_site_fract_z
_atom_site_occupancy
La1 La 0.000 0.000 0.000 1
Ta1 Ta 0.000 0.500 0.500 1
Re1 Re 0.232 0.000 0.685 1
```

=====

A relaxed H5Pd12Pt3 crystal, computed with PBE.

The energy comes out at -4.741 eV per atom. The magnetization is 0.00 μB per formula unit.

The structure in CIF format:
```
data_H5Pd12Pt3
_chemical_formula_sum 'H40 Pd96 Pt24'
_cell_length_a 12.862
_cell_length_b 12.862
_cell_length_c 12.862
_cell_angle_alpha 90.00
_cell_angle_beta 90.00
_cell_angle_gamma 90.00
_space_group_name_H-M_alt 'I a -3 d'
_space_group_IT_number 230
_space_group_name_Hall '-I 4bd 2c 3'
loop_
_atom_site_label
_atom_site_type_symbol
_atom_site_fract_x
_atom_site_fract_y
_atom_site_fract_z
_atom_site_occupancy
H1 H 0.000 0.000 0.000 1
H2 H 0.000 0.250 0.375 1
Pd1 Pd 0.044 0.049 0.644 1
Pt1 Pt 0.000 0.250 0.125 1
```

=====

A relaxed Zn6Co crystal, computed with PBE.

The polymorph energy (0 for the lowest one) comes out at 0 meV/atom. The energy comes out at -2.145 eV per atom. The magnetization is 0.00 μB per formula unit. The energy of formation from the pure elements is -0.038 eV/atom.

The structure in CIF format:
```
data_Zn6Co
_chemical_formula_sum 'Zn24 Co4'
_cell_length_a 7.406
_cell_length_b 6.615
_cell_length_c 8.358
_cell_angle_alpha 90.00
_cell_angle_beta 90.00
_cell_angle_gamma 90.00
_space_group_name_H-M_alt 'C m c m'
_space_group_IT_number 63
_space_group_name_Hall '-C 2c 2'
loop_
_atom_site_label
_atom_site_type_symbol
_atom_site_fract_x
_atom_site_fract_y
_atom_site_fract_z
_atom_site_occupancy
Zn1 Zn 0.000 0.163 0.077 1
Zn2 Zn 0.182 0.500 0.000 1
Zn3 Zn 0.194 0.226 0.750 1
Co1 Co 0.000 0.465 0.250 1
```

=====

A relaxed LaY2SbN crystal, computed with PBE.

The energy comes out at -7.093 eV per atom. The magnetization is 0.00 μB per formula unit.

The structure in CIF format:
```
data_LaY2SbN
_chemical_formula_sum 'La1 Y2 Sb1 N1'
_cell_length_a 4.808
_cell_length_b 4.808
_cell_length_c 5.130
_cell_angle_alpha 90.00
_cell_angle_beta 90.00
_cell_angle_gamma 90.00
_space_group_name_H-M_alt 'P 4/m m m'
_space_group_IT_number 123
_space_group_name_Hall '-P 4 2'
loop_
_atom_site_label
_atom_site_type_symbol
_atom_site_fract_x
_atom_site_fract_y
_atom_site_fract_z
_atom_site_occupancy
La1 La 0.000 0.000 0.000 1
Y1 Y 0.000 0.500 0.500 1
Sb1 Sb 0.500 0.500 0.000 1
N1 N 0.000 0.000 0.500 1
```

=====

A relaxed Nd3GdOs crystal, computed with PBE.

The energy comes out at -7.794 eV per atom. The magnetization is 7.78 μB per formula unit. The energy of formation from the pure elements is 0.128 eV/atom.

The structure in CIF format:
```
data_Nd3GdOs
_chemical_formula_sum 'Nd3 Gd1 Os1'
_cell_length_a 5.611
_cell_length_b 5.611
_cell_length_c 5.611
_cell_angle_alpha 90.00
_cell_angle_beta 90.00
_cell_angle_gamma 90.00
_space_group_name_H-M_alt 'P m -3 m'
_space_group_IT_number 221
_space_group_name_Hall '-P 4 2 3'
loop_
_atom_site_label
_atom_site_type_symbol
_atom_site_fract_x
_atom_site_fract_y
_atom_site_fract_z
_atom_site_occupancy
Nd1 Nd 0.000 0.000 0.500 1
Gd1 Gd 0.500 0.500 0.500 1
Os1 Os 0.000 0.000 0.000 1
```

=====

A relaxed CoCuHgOsRu crystal, computed with PBE.

The polymorph energy (0 for the lowest one) comes out at 173 meV/atom. The energy comes out at -5.952 eV per atom. The magnetization is 0.71 μB per formula unit. The energy of formation from the pure elements is 0.450 eV/atom.

The structure in CIF format:
```
data_CoCuHgOsRu
_chemical_formula_sum 'Co2 Cu2 Hg2 Os2 Ru2'
_cell_length_a 8.560
_cell_length_b 2.772
_cell_length_c 6.439
_cell_angle_alpha 90.00
_cell_angle_beta 103.72
_cell_angle_gamma 90.00
_space_group_name_H-M_alt 'C 1 m 1'
_space_group_IT_number 8
loop_
_space_group_symop_operation_xyz
'x,y,z'
'x,-y,z'
'x+1/2,y+1/2,z'
'x+1/2,-y+1/2,z'
loop_
_atom_site_label
_atom_site_type_symbol
_atom_site_fract_x
_atom_site_fract_y
_atom_site_fract_z
_atom_site_occupancy
Co1 Co 0.000 0.000 0.000 1
Cu1 Cu 0.301 0.000 0.148 1
Hg1 Hg 0.188 0.500 0.777 1
Os1 Os 0.104 0.500 0.328 1
Ru1 Ru 0.406 0.500 0.502 1
```